Below is an optimized crystal structure of FeSiAg, with properties calculated at the GGA-PBEsol level.

Cell: 2.861 2.861 9.517 Å, 90.00 90.00 90.00°
Space group I4mm (No. 107)
Symmetry-distinct sites (fractional):
Fe 0.000 0.000 0.000
Si 0.000 0.000 0.397
Ag 0.000 0.000 0.701

Calculated values
Total energy   -0.438 Ry/atom
Raw formation energy   0.046 eV/atom
V   38.9 Å³/f.u.